Arrangement one

A plane-wave DFT calculation with PBE was carried out for FeAgIN2 after structural relaxation.

Unit cell a=3.737 b=3.737 c=6.682 alpha=90.00 beta=90.00 gamma=90.00
Each line ends with the local moment (μB).
Element x y z (fractional)
1 I 0.000 0.000 0.500  0.06
2 Fe 0.000 0.000 0.000  0.93
3 Ag 0.500 0.500 0.500  0.01
4 N 0.000 0.500 0.000  -0.10
5 N 0.500 0.000 0.000  -0.10

Summary:
- SG: P4/mmm, No. 123
- Crystal system: tetragonal


Arrangement two

A plane-wave DFT calculation with PBE was carried out for FeAgIN2 after structural relaxation.

Unit cell a=4.036 b=4.036 c=7.416 alpha=90.00 beta=90.00 gamma=90.00
Each line ends with the local moment (μB).
Element x y z (fractional)
1 I 0.000 0.000 0.500  0.06
2 Fe 0.500 0.500 0.500  3.08
3 Ag 0.000 0.000 0.000  -0.25
4 N 0.000 0.500 0.000  -1.07
5 N 0.500 0.000 0.000  -1.07

Summary:
- SG: P4/mmm, No. 123
- Crystal system: tetragonal


The calculated energies rank the structures as follows, beginning with the most stable: arrangement one, arrangement two.